No. 1
DFT (PBE) results for a geometry-optimized Tb3PmDy6Y2 structure.

* energy relative to the elements: 0.02 eV per atom
* D(E_F): 15.7 states/eV/f.u.

a b c (Å): 6.1685 10.6738 11.8042
angles (deg): 90.00 99.96 90.00
Space group C2/m (No. 12)
Inequivalent atoms, fractional coordinates:
1 Tb 0.0000 0.0000 0.0000 (multiplicity 2)
2 Tb 0.0000 0.3331 0.0000 (multiplicity 4)
3 Pm 0.0000 0.5000 0.5000 (multiplicity 2)
4 Dy 0.2490 0.1666 0.2487 (multiplicity 8)
5 Dy 0.2489 0.5000 0.2488 (multiplicity 4)
6 Y 0.0000 0.1667 0.5000 (multiplicity 4)



No. 2
DFT (PBE) results for a geometry-optimized TbPm2Dy4Y2 structure.

* energy relative to the elements: 0.00 eV per atom
* D(E_F): 12.1 states/eV/f.u.

a b c (Å): 18.7240 3.6061 9.5854
angles (deg): 90.00 115.74 90.00
Space group C2/m (No. 12)
Inequivalent atoms, fractional coordinates:
1 Tb 0.0000 0.0000 0.0000 (multiplicity 2)
2 Pm 0.1660 0.5000 0.0006 (multiplicity 4)
3 Dy 0.0189 0.5000 0.3338 (multiplicity 4)
4 Dy 0.1853 0.0000 0.3354 (multiplicity 4)
5 Y 0.1470 0.0000 0.6634 (multiplicity 4)



No. 3
DFT (PBE) results for a geometry-optimized TbPmDy2Y2 structure.

* energy relative to the elements: 0.27 eV per atom
* D(E_F): 9.6 states/eV/f.u.

a b c (Å): 6.5644 17.8159 3.4028
angles (deg): 90.00 90.00 90.00
Space group Pnnm (No. 58)
Inequivalent atoms, fractional coordinates:
1 Tb 0.0000 0.0000 0.0000 (multiplicity 2)
2 Pm 0.0000 0.5000 0.0000 (multiplicity 2)
3 Dy 0.2243 0.1474 0.5000 (multiplicity 4)
4 Y 0.2263 0.3148 0.0000 (multiplicity 4)



No. 4
DFT (PBE) results for a geometry-optimized Tb6Pm3Dy2Y structure.

* energy relative to the elements: 0.02 eV per atom
* D(E_F): 15.7 states/eV/f.u.

a b c (Å): 6.2074 10.7468 11.8674
angles (deg): 90.00 100.00 90.00
Space group C2/m (No. 12)
Inequivalent atoms, fractional coordinates:
1 Tb 0.2490 0.0000 0.2474 (multiplicity 4)
2 Tb 0.2499 0.1670 0.7526 (multiplicity 8)
3 Pm 0.0000 0.0000 0.5000 (multiplicity 2)
4 Pm 0.0000 0.3334 0.5000 (multiplicity 4)
5 Dy 0.0000 0.1666 0.0000 (multiplicity 4)
6 Y 0.0000 0.5000 0.0000 (multiplicity 2)